Entry 1:
Below is an optimized crystal structure of PuMnCuRu, with properties calculated at the GGA-PBE level.

Cell lengths 6.2668, 6.2668, 6.2668 Å; angles 90.00, 90.00, 90.00 degrees
Atoms (fractional coordinates):
Pu: 0.0000 0.0000 0.0000
Pu: 0.0000 0.5000 0.5000
Pu: 0.5000 0.0000 0.5000
Pu: 0.5000 0.5000 0.0000
Mn: 0.2500 0.2500 0.2500
Mn: 0.2500 0.7500 0.7500
Mn: 0.7500 0.2500 0.7500
Mn: 0.7500 0.7500 0.2500
Cu: 0.0000 0.0000 0.5000
Cu: 0.0000 0.5000 0.0000
Cu: 0.5000 0.0000 0.0000
Cu: 0.5000 0.5000 0.5000
Ru: 0.2500 0.2500 0.7500
Ru: 0.2500 0.7500 0.2500
Ru: 0.7500 0.2500 0.2500
Ru: 0.7500 0.7500 0.7500

Output
The formation energy comes out at 0.23 eV per atom. As for the total energy: -0.6604 Ry/atom. The density of states at the Fermi level comes out at 1.06 states/eV/atom. The space group is F-43m (216).

Entry 2:
Below is an optimized crystal structure of Pu2MnCuS5, with properties calculated at the GGA-PBE level.

Cell lengths 8.3278, 8.3278, 11.0706 Å; angles 90.00, 90.00, 153.87 degrees
Atoms (fractional coordinates):
Pu: 0.1092 0.8908 0.5000
Pu: 0.1306 0.8694 0.1137
Pu: 0.8694 0.1306 0.6137
Pu: 0.8908 0.1092 0.0000
Mn: 0.1998 0.8002 0.8217
Mn: 0.8002 0.1998 0.3217
Cu: 0.4345 0.5655 0.2627
Cu: 0.5655 0.4345 0.7627
S: 0.0533 0.9467 0.8745
S: 0.2842 0.7158 0.4718
S: 0.3067 0.6933 0.1631
S: 0.3522 0.6478 0.8128
S: 0.4956 0.5044 0.5879
S: 0.5044 0.4956 0.0879
S: 0.6478 0.3522 0.3128
S: 0.6933 0.3067 0.6631
S: 0.7158 0.2842 0.9718
S: 0.9467 0.0533 0.3745

Output
As for the total energy: -0.5900 Ry/atom. The density of states at the Fermi level comes out at 2.29 states/eV/atom. The space group is Cmc2_1 (36). The uncorrected formation energy is -1076 meV/atom.

Entry 3:
Below is an optimized crystal structure of PuMnCu2S4, with properties calculated at the GGA-PBE level.

Cell lengths 6.2835, 5.5296, 6.2467 Å; angles 64.16, 52.37, 63.47 degrees
Atoms (fractional coordinates):
Pu: 0.0000 0.0000 0.0000
Mn: 0.5426 0.5426 0.4574
Cu: 0.3307 0.3307 0.1693
Cu: 0.8307 0.8307 0.6693
S: 0.2481 0.7115 0.2885
S: 0.5005 0.9809 0.4995
S: 0.7115 0.2481 0.7519
S: 0.9809 0.5005 0.0191

Output
As for the total energy: -0.4905 Ry/atom. The density of states at the Fermi level comes out at 1.66 states/eV/atom. The space group is Fmm2 (42). The uncorrected formation energy is -648 meV/atom.

Entry 4:
Below is an optimized crystal structure of Pu2MnCuSe5, with properties calculated at the GGA-PBE level.

Cell lengths 10.9810, 10.9810, 11.1812 Å; angles 90.00, 90.00, 159.38 degrees
Atoms (fractional coordinates):
Pu: 0.1194 0.8806 0.5000
Pu: 0.1867 0.8133 0.1683
Pu: 0.8133 0.1867 0.6683
Pu: 0.8806 0.1194 0.0000
Mn: 0.1848 0.8152 0.8371
Mn: 0.8152 0.1848 0.3371
Cu: 0.4346 0.5654 0.6274
Cu: 0.5654 0.4346 0.1274
Se: 0.0654 0.9346 0.2533
Se: 0.3010 0.6990 0.8614
Se: 0.3241 0.6759 0.1809
Se: 0.3449 0.6551 0.4917
Se: 0.4701 0.5299 0.0182
Se: 0.5299 0.4701 0.5182
Se: 0.6551 0.3449 0.9917
Se: 0.6759 0.3241 0.6809
Se: 0.6990 0.3010 0.3614
Se: 0.9346 0.0654 0.7533

Output
As for the total energy: -0.5466 Ry/atom. The density of states at the Fermi level comes out at 2.64 states/eV/atom. The space group is Cmc2_1 (36). The uncorrected formation energy is -843 meV/atom.

Entry 5:
Below is an optimized crystal structure of PuMnCuSn, with properties calculated at the GGA-PBE level.

Cell lengths 6.6848, 6.6848, 6.6848 Å; angles 90.00, 90.00, 90.00 degrees
Atoms (fractional coordinates):
Pu: 0.0000 0.0000 0.0000
Pu: 0.0000 0.5000 0.5000
Pu: 0.5000 0.0000 0.5000
Pu: 0.5000 0.5000 0.0000
Mn: 0.2500 0.2500 0.7500
Mn: 0.2500 0.7500 0.2500
Mn: 0.7500 0.2500 0.2500
Mn: 0.7500 0.7500 0.7500
Cu: 0.2500 0.2500 0.2500
Cu: 0.2500 0.7500 0.7500
Cu: 0.7500 0.2500 0.7500
Cu: 0.7500 0.7500 0.2500
Sn: 0.0000 0.0000 0.5000
Sn: 0.0000 0.5000 0.0000
Sn: 0.5000 0.0000 0.0000
Sn: 0.5000 0.5000 0.5000

Output
The formation energy comes out at -0.05 eV per atom. As for the total energy: -0.5841 Ry/atom. The density of states at the Fermi level comes out at 0.88 states/eV/atom. The space group is F-43m (216).

Entry 6:
Below is an optimized crystal structure of PuThMnCu, with properties calculated at the GGA-PBE level.

Cell lengths 6.9840, 6.9840, 6.9840 Å; angles 90.00, 90.00, 90.00 degrees
Atoms (fractional coordinates):
Pu: 0.0000 0.0000 0.0000
Pu: 0.0000 0.5000 0.5000
Pu: 0.5000 0.0000 0.5000
Pu: 0.5000 0.5000 0.0000
Th: 0.0000 0.0000 0.5000
Th: 0.0000 0.5000 0.0000
Th: 0.5000 0.0000 0.0000
Th: 0.5000 0.5000 0.5000
Mn: 0.2500 0.2500 0.2500
Mn: 0.2500 0.7500 0.7500
Mn: 0.7500 0.2500 0.7500
Mn: 0.7500 0.7500 0.2500
Cu: 0.2500 0.2500 0.7500
Cu: 0.2500 0.7500 0.2500
Cu: 0.7500 0.2500 0.2500
Cu: 0.7500 0.7500 0.7500

Output
The formation energy comes out at 0.13 eV per atom. As for the total energy: -0.6342 Ry/atom. The density of states at the Fermi level comes out at 2.66 states/eV/atom. The space group is F-43m (216).

Entry 7:
Below is an optimized crystal structure of PuUMnCu, with properties calculated at the GGA-PBE level.

Cell lengths 6.4016, 6.4016, 6.4016 Å; angles 90.00, 90.00, 90.00 degrees
Atoms (fractional coordinates):
Pu: 0.0000 0.0000 0.0000
Pu: 0.0000 0.5000 0.5000
Pu: 0.5000 0.0000 0.5000
Pu: 0.5000 0.5000 0.0000
U: 0.2500 0.2500 0.7500
U: 0.2500 0.7500 0.2500
U: 0.7500 0.2500 0.2500
U: 0.7500 0.7500 0.7500
Mn: 0.0000 0.0000 0.5000
Mn: 0.0000 0.5000 0.0000
Mn: 0.5000 0.0000 0.0000
Mn: 0.5000 0.5000 0.5000
Cu: 0.2500 0.2500 0.2500
Cu: 0.2500 0.7500 0.7500
Cu: 0.7500 0.2500 0.7500
Cu: 0.7500 0.7500 0.2500

Output
The formation energy comes out at -0.01 eV per atom. As for the total energy: -0.7152 Ry/atom. The density of states at the Fermi level comes out at 0.62 states/eV/atom. The space group is F-43m (216).

Entry 8:
Below is an optimized crystal structure of YPuMnCu, with properties calculated at the GGA-PBE level.

Cell lengths 6.9247, 6.9247, 6.9247 Å; angles 90.00, 90.00, 90.00 degrees
Atoms (fractional coordinates):
Y: 0.0000 0.0000 0.0000
Y: 0.0000 0.5000 0.5000
Y: 0.5000 0.0000 0.5000
Y: 0.5000 0.5000 0.0000
Pu: 0.0000 0.0000 0.5000
Pu: 0.0000 0.5000 0.0000
Pu: 0.5000 0.0000 0.0000
Pu: 0.5000 0.5000 0.5000
Mn: 0.2500 0.2500 0.7500
Mn: 0.2500 0.7500 0.2500
Mn: 0.7500 0.2500 0.2500
Mn: 0.7500 0.7500 0.7500
Cu: 0.2500 0.2500 0.2500
Cu: 0.2500 0.7500 0.7500
Cu: 0.7500 0.2500 0.7500
Cu: 0.7500 0.7500 0.2500

Output
The formation energy comes out at 0.10 eV per atom. As for the total energy: -0.6185 Ry/atom. The density of states at the Fermi level comes out at 2.08 states/eV/atom. The space group is F-43m (216).

Entry 9:
Below is an optimized crystal structure of RbMn2Cu, with properties calculated at the GGA-PBE level.

Cell lengths 7.0324, 7.0324, 7.0324 Å; angles 90.00, 90.00, 90.00 degrees
Atoms (fractional coordinates):
Rb: 0.0000 0.0000 0.0000
Rb: 0.0000 0.5000 0.5000
Rb: 0.5000 0.0000 0.5000
Rb: 0.5000 0.5000 0.0000
Mn: 0.2500 0.2500 0.2500
Mn: 0.2500 0.2500 0.7500
Mn: 0.2500 0.7500 0.2500
Mn: 0.2500 0.7500 0.7500
Mn: 0.7500 0.2500 0.2500
Mn: 0.7500 0.2500 0.7500
Mn: 0.7500 0.7500 0.2500
Mn: 0.7500 0.7500 0.7500
Cu: 0.0000 0.0000 0.5000
Cu: 0.0000 0.5000 0.0000
Cu: 0.5000 0.0000 0.0000
Cu: 0.5000 0.5000 0.5000

Output
The formation energy comes out at 1.25 eV per atom. As for the total energy: -0.3378 Ry/atom. The density of states at the Fermi level comes out at 0.66 states/eV/atom. The space group is Fm-3m (225).

Entry 10:
Below is an optimized crystal structure of RbMn2Cu, with properties calculated at the GGA-PBE level.

Cell lengths 5.4153, 5.4153, 16.4795 Å; angles 90.00, 90.00, 90.00 degrees
Atoms (fractional coordinates):
Rb: 0.0000 0.2500 0.3750
Rb: 0.0000 0.7500 0.6250
Rb: 0.5000 0.2500 0.1250
Rb: 0.5000 0.7500 0.8750
Mn: 0.0000 0.0000 0.0000
Mn: 0.0000 0.5000 0.0000
Mn: 0.2500 0.2500 0.7500
Mn: 0.2500 0.7500 0.2500
Mn: 0.5000 0.0000 0.5000
Mn: 0.5000 0.5000 0.5000
Mn: 0.7500 0.2500 0.7500
Mn: 0.7500 0.7500 0.2500
Cu: 0.0000 0.2500 0.8750
Cu: 0.0000 0.7500 0.1250
Cu: 0.5000 0.2500 0.6250
Cu: 0.5000 0.7500 0.3750

Output
The formation energy comes out at 0.98 eV per atom. As for the total energy: -0.3580 Ry/atom. The density of states at the Fermi level comes out at 0.83 states/eV/atom. The space group is I4_1/amd (141).

Entry 11:
Below is an optimized crystal structure of RbMnCu2, with properties calculated at the GGA-PBE level.

Cell lengths 5.0304, 5.0304, 17.1725 Å; angles 90.00, 90.00, 90.00 degrees
Atoms (fractional coordinates):
Rb: 0.0000 0.2500 0.3750
Rb: 0.0000 0.7500 0.6250
Rb: 0.5000 0.2500 0.1250
Rb: 0.5000 0.7500 0.8750
Mn: 0.0000 0.2500 0.8750
Mn: 0.0000 0.7500 0.1250
Mn: 0.5000 0.2500 0.6250
Mn: 0.5000 0.7500 0.3750
Cu: 0.0000 0.0000 0.0000
Cu: 0.0000 0.5000 0.0000
Cu: 0.2500 0.2500 0.7500
Cu: 0.2500 0.7500 0.2500
Cu: 0.5000 0.0000 0.5000
Cu: 0.5000 0.5000 0.5000
Cu: 0.7500 0.2500 0.7500
Cu: 0.7500 0.7500 0.2500

Output
The formation energy comes out at 0.67 eV per atom. As for the total energy: -0.2873 Ry/atom. The density of states at the Fermi level comes out at 0.33 states/eV/atom. The space group is I4_1/amd (141).

Entry 12:
Below is an optimized crystal structure of Rb2MnCu2, with properties calculated at the GGA-PBE level.

Cell lengths 9.6922, 9.6922, 3.3142 Å; angles 90.00, 90.00, 90.00 degrees
Atoms (fractional coordinates):
Rb: 0.1375 0.3625 0.0000
Rb: 0.3625 0.8625 0.0000
Rb: 0.6375 0.1375 0.0000
Rb: 0.8625 0.6375 0.0000
Mn: 0.0000 0.0000 0.0000
Mn: 0.5000 0.5000 0.0000
Cu: 0.1654 0.6654 0.5000
Cu: 0.3346 0.1654 0.5000
Cu: 0.6654 0.8346 0.5000
Cu: 0.8346 0.3346 0.5000

Output
The formation energy comes out at 1.04 eV per atom. As for the total energy: -0.2072 Ry/atom. The density of states at the Fermi level comes out at 0.78 states/eV/atom. The space group is P4/mbm (127).